Record 1
Compound: Zn2Cd2Pd5Pb
Source: Alexandria via LeMat-Bulk
Functional: PBE
Structure: optimized geometry

Values from the calculation:
* total moment: 0.000 μB per formula unit
* E_tot: -74.51 eV/cell
* calculated density: 10.361 g/cm³
* formation energy from the elements: -31 kJ per mole of atoms

abc: 3.8219 9.5830 9.5830
angles: 90.00 90.00 90.00
Fractional positions:
Zn 0.0000 0.1253 0.6253
Zn 0.0000 0.8747 0.3747
Zn 0.0000 0.6253 0.8747
Zn 0.0000 0.3747 0.1253
Cd 0.0000 0.6703 0.1703
Cd 0.0000 0.3297 0.8297
Cd 0.0000 0.1703 0.3297
Cd 0.0000 0.8297 0.6703
Pd 0.5000 0.1996 0.0868
Pd 0.5000 0.8004 0.9132
Pd 0.5000 0.0868 0.8004
Pd 0.5000 0.6996 0.4132
Pd 0.5000 0.9132 0.1996
Pd 0.5000 0.3004 0.5868
Pd 0.5000 0.5868 0.6996
Pd 0.5000 0.4132 0.3004
Pd 0.5000 0.5000 0.0000
Pd 0.5000 0.0000 0.5000
Pb 0.0000 0.0000 0.0000
Pb 0.0000 0.5000 0.5000

---

Record 2
Compound: Pm7CdPb2
Source: Alexandria via LeMat-Bulk
Functional: PBE
Structure: optimized geometry

Values from the calculation:
* total moment: 0.182 μB per formula unit
* E_tot: -43.13 eV/cell
* calculated density: 7.670 g/cm³
* formation energy from the elements: -15 kJ per mole of atoms

abc: 5.4181 5.4181 13.1297
angles: 90.00 90.00 120.00
Each line ends with the local moment (μB).
Fractional positions:
Pm 0.6667 0.3333 0.5924  0.07
Pm 0.6667 0.3333 0.8516  0.20
Pm 0.0000 0.0000 0.7407  0.14
Pm 0.0000 0.0000 0.2581  -0.17
Pm 0.3333 0.6667 0.4332  -0.04
Pm 0.3333 0.6667 0.9834  0.05
Pm 0.6667 0.3333 0.1122  -0.14
Cd 0.0000 0.0000 0.9974  0.00
Pb 0.3333 0.6667 0.6947  -0.01
Pb 0.6667 0.3333 0.3528  0.01

---

Record 3
Compound: Pm2CdPb3
Source: Alexandria via LeMat-Bulk
Functional: PBE
Structure: optimized geometry

Values from the calculation:
* total moment: 0.000 μB per formula unit
* E_tot: -24.26 eV/cell
* calculated density: 9.915 g/cm³
* formation energy from the elements: -44 kJ per mole of atoms
* ΔE to the lowest computed polymorph: 0.0 kJ per mole of atoms

abc: 4.5832 4.7803 8.1563
angles: 90.00 106.32 90.00
Fractional positions:
Pm 0.1506 0.5000 0.3013
Pm 0.8494 0.5000 0.6987
Cd 0.0000 0.0000 0.0000
Pb 0.3270 0.0000 0.6539
Pb 0.6730 0.0000 0.3461
Pb 0.5000 0.5000 0.0000

---

Record 4
Compound: Pm2CdPb2
Source: Alexandria via LeMat-Bulk
Functional: PBE
Structure: optimized geometry

Values from the calculation:
* total moment: 0.000 μB per formula unit
* E_tot: -79.34 eV/cell
* calculated density: 8.786 g/cm³
* formation energy from the elements: -39 kJ per mole of atoms
* ΔE to the lowest computed polymorph: 0.6 kJ per mole of atoms

abc: 7.8089 8.3135 9.5121
angles: 90.00 89.64 90.00
Fractional positions:
Pm 0.5001 0.2429 0.1098
Pm 0.0001 0.2571 0.1098
Pm 0.9999 0.7429 0.8902
Pm 0.4999 0.7571 0.8902
Pm 0.9988 0.7395 0.3593
Pm 0.4988 0.7605 0.3593
Pm 0.5012 0.2395 0.6407
Pm 0.0012 0.2605 0.6407
Cd 0.2796 0.4143 0.3805
Cd 0.7204 0.5857 0.6195
Cd 0.7796 0.0857 0.3805
Cd 0.2204 0.9143 0.6195
Pb 0.7522 0.9171 0.1160
Pb 0.2522 0.5829 0.1160
Pb 0.7478 0.4171 0.8840
Pb 0.2478 0.0829 0.8840
Pb 0.7393 0.4324 0.3422
Pb 0.2393 0.0676 0.3422
Pb 0.7607 0.9324 0.6578
Pb 0.2607 0.5676 0.6578

---

Record 5
Compound: Pm4CdPb
Source: Alexandria via LeMat-Bulk
Functional: PBE
Structure: optimized geometry

Values from the calculation:
* total moment: 0.001 μB per formula unit
* E_tot: -24.07 eV/cell
* calculated density: 7.099 g/cm³
* formation energy from the elements: -7 kJ per mole of atoms

abc: 5.3021 5.3027 7.4846
angles: 89.98 89.99 90.00
Fractional positions:
Pm 0.5013 0.9971 0.2588
Pm 0.5013 0.9975 0.7375
Pm 0.0014 0.4973 0.7374
Pm 0.0012 0.4972 0.2588
Cd 0.0013 0.9973 0.4981
Pb 0.5013 0.4973 0.9982

---

Record 6
Compound: PmCdPb
Source: Alexandria via LeMat-Bulk
Functional: PBE
Structure: optimized geometry

Values from the calculation:
* total moment: 0.000 μB per formula unit
* E_tot: -10.42 eV/cell
* calculated density: 9.172 g/cm³
* formation energy from the elements: -34 kJ per mole of atoms
* ΔE to the lowest computed polymorph: 0.0 kJ per mole of atoms

abc: 3.9677 4.9477 4.9477
angles: 120.00 90.00 90.00
Fractional positions:
Pb 0.0620 0.0000 0.0000
Cd 0.2752 0.3333 0.6667
Pm 0.6628 0.6667 0.3333

---

Record 7
Compound: Pm12CdPb6
Source: Alexandria via LeMat-Bulk
Functional: PBE
Structure: optimized geometry

Values from the calculation:
* total moment: 0.000 μB per formula unit
* E_tot: -83.71 eV/cell
* calculated density: 7.306 g/cm³
* formation energy from the elements: -18 kJ per mole of atoms

abc: 9.0780 9.0780 9.0780
angles: 100.68 100.68 100.68
Fractional positions:
Pm 0.8066 0.5855 0.4448
Pm 0.4448 0.8066 0.5855
Pm 0.5855 0.4448 0.8066
Pm 0.1934 0.4145 0.5552
Pm 0.5552 0.1934 0.4145
Pm 0.4145 0.5552 0.1934
Pm 0.0520 0.9571 0.3277
Pm 0.0429 0.6723 0.9480
Pm 0.6723 0.9480 0.0429
Pm 0.9480 0.0429 0.6723
Pm 0.9571 0.3277 0.0520
Pm 0.3277 0.0520 0.9571
Cd 0.0000 0.0000 0.0000
Pb 0.6809 0.8760 0.3731
Pb 0.6269 0.3191 0.1240
Pb 0.1240 0.6269 0.3191
Pb 0.3191 0.1240 0.6269
Pb 0.3731 0.6809 0.8760
Pb 0.8760 0.3731 0.6809

---

Record 8
Compound: Pm2Cd5Pb
Source: Alexandria via LeMat-Bulk
Functional: PBE
Structure: optimized geometry

Values from the calculation:
* total moment: 0.000 μB per formula unit
* E_tot: -40.78 eV/cell
* calculated density: 8.541 g/cm³
* formation energy from the elements: -31 kJ per mole of atoms

abc: 4.5603 6.7112 13.4574
angles: 90.00 90.00 90.00
Fractional positions:
Pm 0.5000 0.2323 0.6199
Pm 0.5000 0.7677 0.3801
Pm 0.5000 0.2677 0.1199
Pm 0.5000 0.7323 0.8801
Cd 0.0000 0.0000 0.0000
Cd 0.0000 0.5000 0.5000
Cd 0.0000 0.4846 0.7452
Cd 0.0000 0.5154 0.2548
Cd 0.0000 0.0154 0.2452
Cd 0.0000 0.9846 0.7548
Cd 0.5000 0.2307 0.8663
Cd 0.5000 0.7693 0.1337
Cd 0.5000 0.2693 0.3663
Cd 0.5000 0.7307 0.6337
Pb 0.0000 0.0000 0.5000
Pb 0.0000 0.5000 0.0000

---

Record 9
Compound: PmCdPb2
Source: Alexandria via LeMat-Bulk
Functional: PBE
Structure: optimized geometry

Values from the calculation:
* total moment: 0.000 μB per formula unit
* E_tot: -14.58 eV/cell
* calculated density: 10.079 g/cm³
* formation energy from the elements: -36 kJ per mole of atoms

abc: 4.5971 4.9067 4.9067
angles: 90.00 90.00 90.00
Fractional positions:
Pb 0.0000 0.0000 0.5000
Pb 0.0000 0.5000 0.0000
Cd 0.5000 0.5000 0.5000
Pm 0.5000 0.0000 0.0000

---

Record 10
Compound: Pm5CdPb4
Source: Alexandria via LeMat-Bulk
Functional: PBE
Structure: optimized geometry

Values from the calculation:
* total moment: 0.924 μB per formula unit
* E_tot: -43.92 eV/cell
* calculated density: 9.326 g/cm³
* formation energy from the elements: -43 kJ per mole of atoms

abc: 4.1036 4.1036 17.6167
angles: 90.00 90.00 90.00
Each line ends with the local moment (μB).
Fractional positions:
Pm 0.5000 0.5000 0.0996  0.07
Pm 0.5000 0.5000 0.3015  0.12
Pm 0.5000 0.5000 0.5000  0.14
Pm 0.5000 0.5000 0.6985  0.12
Pm 0.5000 0.5000 0.9004  0.07
Cd 0.0000 0.0000 0.0000  0.00
Pb 0.0000 0.0000 0.1988  0.00
Pb 0.0000 0.0000 0.4011  0.00
Pb 0.0000 0.0000 0.5989  0.00
Pb 0.0000 0.0000 0.8012  0.00

---

Record 11
Compound: Pm7CdPb4
Source: Alexandria via LeMat-Bulk
Functional: PBE
Structure: optimized geometry

Values from the calculation:
* total moment: 0.681 μB per formula unit
* E_tot: -51.84 eV/cell
* calculated density: 8.084 g/cm³
* formation energy from the elements: -23 kJ per mole of atoms

abc: 5.8067 9.6653 8.0748
angles: 79.33 68.93 72.52
Each line ends with the local moment (μB).
Fractional positions:
Pm 0.7979 0.8698 0.5344  0.07
Pm 0.2021 0.1302 0.4656  0.07
Pm 0.0814 0.6750 0.1623  0.09
Pm 0.9186 0.3250 0.8377  0.09
Pm 0.3492 0.5723 0.7293  0.04
Pm 0.5000 0.0000 0.0000  -0.01
Pm 0.6508 0.4277 0.2707  0.04
Cd 0.0000 0.0000 0.0000  0.00
Pb 0.5768 0.2179 0.6285  -0.01
Pb 0.4232 0.7821 0.3715  -0.01
Pb 0.7166 0.6662 0.9006  0.00
Pb 0.2834 0.3338 0.0994  0.00

---

Record 12
Compound: Pm2CdPb
Source: Alexandria via LeMat-Bulk
Functional: PBE
Structure: optimized geometry

Values from the calculation:
* total moment: 0.000 μB per formula unit
* E_tot: -15.85 eV/cell
* calculated density: 8.801 g/cm³
* formation energy from the elements: -42 kJ per mole of atoms

abc: 5.4589 5.4589 5.4590
angles: 60.00 60.00 60.00
Fractional positions:
Pb 0.7500 0.7500 0.7500
Cd 0.2500 0.2500 0.2500
Pm 0.5000 0.5000 0.5000
Pm 0.0000 0.0000 0.0000

---

Record 13
Compound: Pm2Cd3Pb2
Source: Alexandria via LeMat-Bulk
Functional: PBE
Structure: optimized geometry

Values from the calculation:
* total moment: 0.000 μB per formula unit
* E_tot: -20.89 eV/cell
* calculated density: 8.355 g/cm³
* formation energy from the elements: -17 kJ per mole of atoms

abc: 4.2838 4.4052 11.1890
angles: 101.35 90.00 90.00
Fractional positions:
Pm 0.0000 0.8398 0.6795
Pm 0.0000 0.1602 0.3205
Cd 0.5000 0.5639 0.1278
Cd 0.5000 0.4361 0.8722
Cd 0.0000 0.0000 0.0000
Pb 0.5000 0.7009 0.4019
Pb 0.5000 0.2991 0.5981

---

Record 14
Compound: Pm2Cd16Pb
Source: Alexandria via LeMat-Bulk
Functional: PBE
Structure: optimized geometry

Values from the calculation:
* total moment: 0.000 μB per formula unit
* E_tot: -30.38 eV/cell
* calculated density: 8.469 g/cm³
* formation energy from the elements: -13 kJ per mole of atoms

abc: 7.7075 7.7075 7.7075
angles: 83.71 83.71 83.71
Fractional positions:
Pm 0.6689 0.6689 0.6689
Pm 0.3348 0.3348 0.3348
Cd 0.6883 0.9973 0.3134
Cd 0.9973 0.3134 0.6883
Cd 0.3134 0.6883 0.9973
Cd 0.9973 0.6883 0.3134
Cd 0.6883 0.3134 0.9973
Cd 0.3134 0.9973 0.6883
Cd 0.3595 0.8145 0.3595
Cd 0.8145 0.3595 0.3595
Cd 0.3595 0.3595 0.8145
Cd 0.6488 0.1564 0.6488
Cd 0.1564 0.6488 0.6488
Cd 0.6488 0.6488 0.1564
Cd 0.0135 0.4811 0.0135
Cd 0.4811 0.0135 0.0135
Cd 0.0135 0.0135 0.4811
Cd 0.1039 0.1039 0.1039
Pb 0.8989 0.8989 0.8989

---

Record 15
Compound: Pm5Cd2Pb2
Source: Alexandria via LeMat-Bulk
Functional: PBE
Structure: optimized geometry

Values from the calculation:
* total moment: 0.000 μB per formula unit
* E_tot: -72.37 eV/cell
* calculated density: 8.014 g/cm³
* formation energy from the elements: -34 kJ per mole of atoms

abc: 8.2505 8.3093 9.2338
angles: 116.74 90.00 90.00
Fractional positions:
Pm 0.0000 0.0000 0.0000
Pm 0.5000 0.5000 0.0000
Pm 0.8292 0.8157 0.2827
Pm 0.1708 0.4670 0.2827
Pm 0.3292 0.9670 0.2827
Pm 0.6708 0.3157 0.2827
Pm 0.1708 0.1843 0.7173
Pm 0.8292 0.5330 0.7173
Pm 0.6708 0.0330 0.7173
Pm 0.3292 0.6843 0.7173
Cd 0.6257 0.8762 0.0000
Cd 0.3743 0.1238 0.0000
Cd 0.1257 0.6238 0.0000
Cd 0.8743 0.3762 0.0000
Pb 0.0000 0.2057 0.4114
Pb 0.5000 0.7057 0.4114
Pb 0.0000 0.7943 0.5886
Pb 0.5000 0.2943 0.5886

---

Record 16
Compound: Pm2CdPb2
Source: Alexandria via LeMat-Bulk
Functional: PBE
Structure: optimized geometry

Values from the calculation:
* total moment: 0.000 μB per formula unit
* E_tot: -39.73 eV/cell
* calculated density: 8.970 g/cm³
* formation energy from the elements: -39 kJ per mole of atoms
* ΔE to the lowest computed polymorph: 0.0 kJ per mole of atoms

abc: 4.9446 4.9446 14.2822
angles: 90.00 90.00 120.00
Fractional positions:
Pm 0.3333 0.6667 0.6071
Pm 0.6667 0.3333 0.1071
Pm 0.6667 0.3333 0.3929
Pm 0.3333 0.6667 0.8929
Cd 0.0000 0.0000 0.2500
Cd 0.0000 0.0000 0.7500
Pb 0.6667 0.3333 0.7500
Pb 0.0000 0.0000 0.0000
Pb 0.0000 0.0000 0.5000
Pb 0.3333 0.6667 0.2500

---

Record 17
Compound: Pm8CdPb6
Source: Alexandria via LeMat-Bulk
Functional: PBE
Structure: optimized geometry

Values from the calculation:
* total moment: 0.000 μB per formula unit
* E_tot: -67.48 eV/cell
* calculated density: 8.215 g/cm³
* formation energy from the elements: -41 kJ per mole of atoms

abc: 9.4956 9.4956 8.5125
angles: 56.10 56.10 60.00
Fractional positions:
Pm 0.6234 0.1928 0.2845
Pm 0.8072 0.1007 0.7155
Pm 0.1007 0.3766 0.7155
Pm 0.6680 0.6680 0.9961
Pm 0.3320 0.3320 0.0039
Pm 0.8993 0.6234 0.2845
Pm 0.1928 0.8993 0.2845
Pm 0.3766 0.8072 0.7155
Cd 0.0000 0.0000 0.0000
Pb 0.4451 0.0719 0.7750
Pb 0.9281 0.2919 0.2250
Pb 0.2919 0.5549 0.2250
Pb 0.7081 0.4451 0.7750
Pb 0.0719 0.7081 0.7750
Pb 0.5549 0.9281 0.2250

---

Record 18
Compound: Pm3CdPb2
Source: Alexandria via LeMat-Bulk
Functional: PBE
Structure: optimized geometry

Values from the calculation:
* total moment: 0.000 μB per formula unit
* E_tot: -50.05 eV/cell
* calculated density: 8.999 g/cm³
* formation energy from the elements: -39 kJ per mole of atoms

abc: 6.5603 6.5432 9.1085
angles: 102.40 111.11 90.00
Fractional positions:
Pm 0.6490 0.2500 0.0000
Pm 0.3510 0.7500 0.0000
Pm 0.2802 0.1012 0.3431
Pm 0.9371 0.3988 0.6569
Pm 0.0629 0.6012 0.3431
Pm 0.7198 0.8988 0.6569
Cd 0.8655 0.7500 0.0000
Cd 0.1345 0.2500 0.0000
Pb 0.5511 0.5522 0.3154
Pb 0.7643 0.0522 0.3154
Pb 0.2357 0.9478 0.6846
Pb 0.4489 0.4478 0.6846

---

Record 19
Compound: PmCd11Pb
Source: Alexandria via LeMat-Bulk
Functional: PBE
Structure: optimized geometry

Values from the calculation:
* total moment: 0.000 μB per formula unit
* E_tot: -19.17 eV/cell
* calculated density: 8.343 g/cm³
* formation energy from the elements: -5 kJ per mole of atoms

abc: 6.4466 7.6941 7.7459
angles: 79.81 65.41 64.84
Fractional positions:
Pm 0.0000 0.0000 0.0000
Cd 0.2659 0.2091 0.2160
Cd 0.7341 0.7909 0.7840
Cd 0.5180 0.7909 0.2160
Cd 0.4820 0.2091 0.7840
Cd 0.3370 0.6525 0.6435
Cd 0.6630 0.3475 0.3565
Cd 0.0196 0.3475 0.6435
Cd 0.9804 0.6525 0.3565
Cd 0.0000 0.5000 0.0000
Cd 0.5000 0.0000 0.5000
Cd 0.0000 0.0000 0.5000
Pb 0.5000 0.5000 0.0000

---

Record 20
Compound: PmCdPb
Source: Alexandria via LeMat-Bulk
Functional: PBE
Structure: optimized geometry

Values from the calculation:
* total moment: 0.000 μB per formula unit
* E_tot: -9.97 eV/cell
* calculated density: 8.463 g/cm³
* formation energy from the elements: -19 kJ per mole of atoms
* ΔE to the lowest computed polymorph: 14.3 kJ per mole of atoms

abc: 5.0518 5.0518 5.0518
angles: 60.00 60.00 60.00
Fractional positions:
Pb 0.5000 0.5000 0.5000
Cd 0.2500 0.2500 0.2500
Pm 0.0000 0.0000 0.0000